(1)
## Ca2CuF6 (PBE-GGA)

Data for Ca2CuF6 after structural relaxation.

density of states at the Fermi level: 6.18 states/eV/f.u.

Structure (CIF):
```
data_Ca2CuF6
_cell_length_a 5.048
_cell_length_b 5.048
_cell_length_c 10.374
_cell_angle_alpha 90.00
_cell_angle_beta 90.00
_cell_angle_gamma 90.00
_space_group_name_H-M_alt 'P 42/m n m'
_space_group_IT_number 136
_space_group_name_Hall '-P 4n 2n'
loop_
_atom_site_label
_atom_site_type_symbol
_atom_site_fract_x
_atom_site_fract_y
_atom_site_fract_z
Ca1 Ca 0.000 0.000 0.166
Cu1 Cu 0.000 0.000 0.500
F1 F 0.187 0.187 0.343
F2 F 0.217 0.217 0.000
```

***

(2)
## Ca2CuF (PBE-GGA)

Data for Ca2CuF after structural relaxation.

density of states at the Fermi level: 1.55 states/eV/f.u.

Structure (CIF):
```
data_Ca2CuF
_cell_length_a 7.015
_cell_length_b 7.015
_cell_length_c 7.015
_cell_angle_alpha 90.00
_cell_angle_beta 90.00
_cell_angle_gamma 90.00
_space_group_name_H-M_alt 'F m -3 m'
_space_group_IT_number 225
_space_group_name_Hall '-F 4 2 3'
loop_
_atom_site_label
_atom_site_type_symbol
_atom_site_fract_x
_atom_site_fract_y
_atom_site_fract_z
Ca1 Ca 0.250 0.250 0.250
Cu1 Cu 0.000 0.000 0.000
F1 F 0.000 0.000 0.500
```

***

no.,distance to the lowest polymorph of the same formula (meV per atom),ΔE_f (raw) (eV/atom)
1,0,-3.0666
2,352,-0.9564